[1]
LiInMo2 | PBE | relaxed

uncorrected energy = -24.957 eV/cell
energy of formation = 339 meV per atom
total magnetization = 0.00 μB per formula unit

Unit cell a=2.7460 b=4.5430 c=5.3147 alpha=90.00 beta=90.00 gamma=90.00
Fractional coordinates of all 4 atoms:
1 In 0.5000 0.5000 0.2500
2 Li 0.5000 0.5000 0.7500
3 Mo 0.0000 0.0000 0.9827
4 Mo 0.0000 0.0000 0.5173


[2]
LiInMo | PBE | relaxed

uncorrected energy = -13.009 eV/cell
energy of formation = 825 meV per atom
total magnetization = 1.99 μB per formula unit
excess energy over the best structure of this formula in the dataset = 1.54 eV/f.u.

Unit cell a=4.2644 b=4.2644 c=4.2644 alpha=60.00 beta=60.00 gamma=60.00
Fractional coordinates of all 3 atoms:
1 In 0.5000 0.5000 0.5000
2 Li 0.7500 0.7500 0.7500
3 Mo 0.0000 0.0000 0.0000


[3]
LiInMo2 | PBE | relaxed

uncorrected energy = -24.993 eV/cell
energy of formation = 330 meV per atom
total magnetization = 0.00 μB per formula unit

Unit cell a=5.2985 b=5.4120 c=2.7617 alpha=83.13 beta=73.92 gamma=114.76
Fractional coordinates of all 4 atoms:
1 In 0.0000 0.5000 0.5000
2 Li 0.5000 0.5000 0.0000
3 Mo 0.0000 0.0000 0.0000
4 Mo 0.5000 0.0000 0.5000


[4]
LiInMo2 | PBE | relaxed

uncorrected energy = -25.062 eV/cell
energy of formation = 313 meV per atom
total magnetization = 0.00 μB per formula unit

Unit cell a=4.6361 b=2.7376 c=5.5065 alpha=72.17 beta=90.00 gamma=90.00
Fractional coordinates of all 4 atoms:
1 In 0.5000 0.2500 0.2500
2 Li 0.5000 0.7500 0.7500
3 Mo 0.0000 0.0037 0.9773
4 Mo 0.0000 0.4963 0.5227


[5]
LiInMo2 | PBE | relaxed

uncorrected energy = -48.115 eV/cell
energy of formation = 564 meV per atom
total magnetization = 0.00 μB per formula unit

Unit cell a=3.7104 b=3.7104 c=10.5022 alpha=79.83 beta=79.83 gamma=90.00
Fractional coordinates of all 8 atoms:
1 Mo 0.6125 0.1250 0.2500
2 Mo 0.1375 0.6250 0.2500
3 Mo 0.3750 0.3875 0.7500
4 Mo 0.8750 0.8625 0.7500
5 Li 0.5000 0.5000 0.0000
6 Li 0.2500 0.7500 0.5000
7 In 0.0000 0.0000 0.0000
8 In 0.7500 0.2500 0.5000


[6]
LiIn3Mo | PBE | relaxed

uncorrected energy = -19.043 eV/cell
energy of formation = 383 meV per atom
total magnetization = 0.00 μB per formula unit
excess energy over the best structure of this formula in the dataset = 0.00 eV/f.u.

Unit cell a=5.2885 b=5.2885 c=5.2885 alpha=90.00 beta=90.00 gamma=90.00
Fractional coordinates of all 5 atoms:
1 Mo 0.0000 0.0000 0.0000
2 Li 0.5000 0.5000 0.5000
3 In 0.0000 0.5000 0.0000
4 In 0.0000 0.0000 0.5000
5 In 0.5000 0.0000 0.0000


What is the uncorrected energy in the fifth record?
-48.115 eV/cell


total magnetization of number 2 (LiInMo)?
1.99 μB per formula unit


What is the energy of formation in the sixth record?
383 meV per atom


Please write out number 1 again, unchanged.
LiInMo2 | PBE | relaxed

uncorrected energy = -24.957 eV/cell
energy of formation = 339 meV per atom
total magnetization = 0.00 μB per formula unit

Unit cell a=2.7460 b=4.5430 c=5.3147 alpha=90.00 beta=90.00 gamma=90.00
Fractional coordinates of all 4 atoms:
1 In 0.5000 0.5000 0.2500
2 Li 0.5000 0.5000 0.7500
3 Mo 0.0000 0.0000 0.9827
4 Mo 0.0000 0.0000 0.5173